P:
{
  "formula": "CaZnGaIr",
  "functional": "PBE",
  "state": "optimized geometry",
  "sg": "F-43m",
  "lattice": [[4.5901, 0.0000, 0.0000], [2.2950, 3.9751, 0.0000], [2.2950, 1.3250, 3.7478]],
  "species": ["Zn", "Ir", "Ca", "Ga"],
  "fractional_positions": [[0.7500, 0.7500, 0.7500], [0.0000, 0.0000, 0.0000], [0.5000, 0.5000, 0.5000], [0.2500, 0.2500, 0.2500]]
}



Q:
{
  "formula": "CaZnGaIr",
  "functional": "PBE",
  "state": "optimized geometry",
  "sg": "R3m",
  "lattice": [[4.3700, 0.0000, 0.0000], [2.1850, 3.7846, 0.0000], [2.1850, 1.2615, 5.0738]],
  "species": ["Ca", "Zn", "Ga", "Ir"],
  "fractional_positions": [[0.8149, 0.8149, 0.5552], [0.0094, 0.0094, 0.9718], [0.2793, 0.2793, 0.1622], [0.6223, 0.6223, 0.1332]]
}



Of them, Q has the highest stability.



P:
{
  "formula": "CaZn2GaIr",
  "functional": "PBE",
  "state": "optimized geometry",
  "sg": "P4/mmm",
  "lattice": [[-0.1186, -1.0632, 4.7361], [0.5476, -4.7102, -1.0437], [4.7048, 0.4962, 0.2292]],
  "species": ["Zn", "Zn", "Ir", "Ca", "Ga"],
  "fractional_positions": [[0.0000, 0.5000, 0.0000], [0.5000, 0.0000, 0.0000], [0.0000, 0.0000, 0.0000], [0.5000, 0.5000, 0.5000], [0.0000, 0.0000, 0.5000]]
}



Q:
{
  "formula": "CaZn2GaIr",
  "functional": "PBE",
  "state": "optimized geometry",
  "sg": "Imm2",
  "lattice": [[-1.8137, -3.5166, -0.7674], [2.8511, -0.8596, -2.7992], [2.6050, -0.2828, 5.7237]],
  "species": ["Ca", "Zn", "Zn", "Ga", "Ir"],
  "fractional_positions": [[0.4431, 0.4431, 0.8862], [0.6907, 0.1907, 0.3814], [0.0554, 0.0554, 0.1107], [0.8281, 0.8281, 0.6562], [0.1949, 0.6949, 0.3897]]
}



Of them, Q has the highest stability.



P:
{
  "formula": "KCaGa3",
  "functional": "PBE",
  "state": "optimized geometry",
  "sg": "Pm-3m",
  "lattice": [[-5.5358, 0.9003, -1.1439], [-0.9904, -5.6258, 0.3650], [-1.0669, 0.5509, 5.5966]],
  "species": ["Ca", "K", "Ga", "Ga", "Ga"],
  "fractional_positions": [[0.0000, 0.0000, 0.0000], [0.5000, 0.5000, 0.5000], [0.0000, 0.5000, 0.0000], [0.0000, 0.0000, 0.5000], [0.5000, 0.0000, 0.0000]]
}



Q:
{
  "formula": "KCaGa3",
  "functional": "PBE",
  "state": "optimized geometry",
  "sg": "Pm-3m",
  "lattice": [[-2.3205, 4.2970, -2.7292], [2.3355, -1.7664, -4.7669], [-4.5231, -3.1166, -1.0612]],
  "species": ["Ca", "K", "Ga", "Ga", "Ga"],
  "fractional_positions": [[0.5000, 0.5000, 0.5000], [0.0000, 0.0000, 0.0000], [0.0000, 0.5000, 0.0000], [0.0000, 0.0000, 0.5000], [0.5000, 0.0000, 0.0000]]
}



Of them, P has the highest stability.



P:
{
  "formula": "K3CaGa",
  "functional": "PBE",
  "state": "optimized geometry",
  "sg": "Pm-3m",
  "lattice": [[-3.0495, 3.9559, -4.2894], [3.6788, -2.4533, -4.8781], [-4.5293, -4.6561, -1.0740]],
  "species": ["Ca", "K", "K", "K", "Ga"],
  "fractional_positions": [[0.5000, 0.5000, 0.5000], [0.0000, 0.5000, 0.0000], [0.0000, 0.0000, 0.5000], [0.5000, 0.0000, 0.0000], [0.0000, 0.0000, 0.0000]]
}



Q:
{
  "formula": "K3CaGa",
  "functional": "PBE",
  "state": "optimized geometry",
  "sg": "Pm-3m",
  "lattice": [[-2.1383, -5.4996, -4.3773], [6.9414, -2.3720, -0.4107], [-1.1058, -4.2552, 5.8864]],
  "species": ["Ca", "K", "K", "K", "Ga"],
  "fractional_positions": [[0.0000, 0.0000, 0.0000], [0.0000, 0.5000, 0.0000], [0.0000, 0.0000, 0.5000], [0.5000, 0.0000, 0.0000], [0.5000, 0.5000, 0.5000]]
}



Of them, P has the highest stability.



P:
{
  "formula": "KCa2Ga2",
  "functional": "PBE",
  "state": "optimized geometry",
  "sg": "P4/mbm",
  "lattice": [[9.0283, 0.0000, 0.0000], [0.0000, 9.0283, 0.0000], [0.0000, 0.0000, 3.5875]],
  "species": ["Ca", "Ca", "Ca", "Ca", "K", "K", "Ga", "Ga", "Ga", "Ga"],
  "fractional_positions": [[0.3582, 0.8582, 0.0000], [0.8582, 0.6418, 0.0000], [0.6418, 0.1418, 0.0000], [0.1418, 0.3582, 0.0000], [0.0000, 0.0000, 0.0000], [0.5000, 0.5000, 0.0000], [0.1505, 0.6505, 0.5000], [0.6505, 0.8495, 0.5000], [0.8495, 0.3495, 0.5000], [0.3495, 0.1505, 0.5000]]
}



Q:
{
  "formula": "KCa2Ga2",
  "functional": "PBE",
  "state": "optimized geometry",
  "sg": "P4/mbm",
  "lattice": [[-4.8035, -0.8722, -7.3006], [7.3525, -0.6012, -4.7657], [-0.0118, -3.8810, 0.4714]],
  "species": ["Ca", "Ca", "Ca", "Ca", "K", "K", "Ga", "Ga", "Ga", "Ga"],
  "fractional_positions": [[0.1752, 0.6752, 0.5000], [0.6752, 0.8248, 0.5000], [0.8248, 0.3248, 0.5000], [0.3248, 0.1752, 0.5000], [0.0000, 0.0000, 0.0000], [0.5000, 0.5000, 0.0000], [0.3903, 0.8903, 0.0000], [0.8903, 0.6097, 0.0000], [0.6097, 0.1097, 0.0000], [0.1097, 0.3903, 0.0000]]
}



Of them, Q has the highest stability.



P:
{
  "formula": "KSrCa2Ga",
  "functional": "PBE",
  "state": "optimized geometry",
  "sg": "P4/mmm",
  "lattice": [[6.0149, 0.0000, 0.0000], [0.0000, 6.0149, 0.0000], [0.0000, 0.0000, 6.3408]],
  "species": ["Sr", "Ca", "Ca", "K", "Ga"],
  "fractional_positions": [[0.0000, 0.0000, 0.5000], [0.0000, 0.5000, 0.0000], [0.5000, 0.0000, 0.0000], [0.5000, 0.5000, 0.5000], [0.0000, 0.0000, 0.0000]]
}



Q:
{
  "formula": "KSrCa2Ga",
  "functional": "PBE",
  "state": "optimized geometry",
  "sg": "P4/mmm",
  "lattice": [[-2.5338, -5.7477, 3.0290], [5.3788, -1.5338, 1.5889], [-0.7716, 3.4944, 5.9853]],
  "species": ["Sr", "Ca", "Ca", "K", "Ga"],
  "fractional_positions": [[0.0000, 0.0000, 0.0000], [0.0000, 0.0000, 0.5000], [0.5000, 0.0000, 0.0000], [0.5000, 0.5000, 0.5000], [0.0000, 0.5000, 0.0000]]
}



Of them, P has the highest stability.



P:
{
  "formula": "CaLa2Ga2",
  "functional": "PBE",
  "state": "optimized geometry",
  "sg": "P4/mbm",
  "lattice": [[9.0465, 0.0000, 0.0000], [0.0000, 9.0465, 0.0000], [0.0000, 0.0000, 3.5118]],
  "species": ["Ca", "Ca", "Ga", "Ga", "Ga", "Ga", "La", "La", "La", "La"],
  "fractional_positions": [[0.0000, 0.0000, 0.0000], [0.5000, 0.5000, 0.0000], [0.1743, 0.6743, 0.5000], [0.6743, 0.8257, 0.5000], [0.8257, 0.3257, 0.5000], [0.3257, 0.1743, 0.5000], [0.3775, 0.8775, 0.0000], [0.8775, 0.6225, 0.0000], [0.6225, 0.1225, 0.0000], [0.1225, 0.3775, 0.0000]]
}



Q:
{
  "formula": "CaLa2Ga2",
  "functional": "PBE",
  "state": "optimized geometry",
  "sg": "P4/mbm",
  "lattice": [[4.5019, 0.0000, 0.0000], [0.0000, 8.1092, 0.0000], [0.0000, 0.0000, 8.1092]],
  "species": ["Ca", "Ca", "La", "La", "La", "La", "Ga", "Ga", "Ga", "Ga"],
  "fractional_positions": [[0.0000, 0.0000, 0.0000], [0.0000, 0.5000, 0.5000], [0.5000, 0.1750, 0.6750], [0.5000, 0.6750, 0.8250], [0.5000, 0.8250, 0.3250], [0.5000, 0.3250, 0.1750], [0.0000, 0.3847, 0.8847], [0.0000, 0.8847, 0.6153], [0.0000, 0.6153, 0.1153], [0.0000, 0.1153, 0.3847]]
}



Of them, Q has the highest stability.



P:
{
  "formula": "CaLaGa4",
  "functional": "PBE",
  "state": "optimized geometry",
  "sg": "F-43m",
  "lattice": [[5.6707, 0.0000, 0.0000], [2.8354, 4.9110, 0.0000], [2.8354, 1.6370, 4.6301]],
  "species": ["Ca", "Ga", "Ga", "Ga", "Ga", "La"],
  "fractional_positions": [[0.2500, 0.2500, 0.2500], [0.6253, 0.6253, 0.1240], [0.6253, 0.1240, 0.6253], [0.6253, 0.6253, 0.6253], [0.1240, 0.6253, 0.6253], [0.0000, 0.0000, 0.0000]]
}



Q:
{
  "formula": "CaLaGa4",
  "functional": "PBE",
  "state": "optimized geometry",
  "sg": "Immm",
  "lattice": [[3.9106, 0.0000, 1.8794], [2.0659, 5.7891, 0.7095], [-0.5304, -0.8084, 6.1116]],
  "species": ["Ca", "La", "Ga", "Ga", "Ga", "Ga"],
  "fractional_positions": [[0.0000, 0.0000, 0.5000], [0.0000, 0.5000, 0.0000], [0.6698, 0.5666, 0.5937], [0.3302, 0.4334, 0.4063], [0.3302, 0.9062, 0.9334], [0.6698, 0.0938, 0.0666]]
}



Of them, Q has the highest stability.



P:
{
  "formula": "CaLaGaO4",
  "functional": "PBE",
  "state": "optimized geometry",
  "sg": "I4mm",
  "lattice": [[-1.9174, 1.9174, 6.2268], [1.9174, -1.9174, 6.2268], [1.9174, 1.9174, -6.2268]],
  "species": ["Ca", "La", "Ga", "O", "O", "O", "O"],
  "fractional_positions": [[0.6424, 0.6424, 0.0000], [0.3560, 0.3560, 0.0000], [0.0112, 0.0112, 0.0000], [0.4974, 0.9974, 0.5000], [0.9974, 0.4974, 0.5000], [0.8259, 0.8259, 0.0000], [0.1698, 0.1698, 0.0000]]
}



Q:
{
  "formula": "CaLaGaO4",
  "functional": "PBE",
  "state": "optimized geometry",
  "sg": "Imma",
  "lattice": [[6.5433, 0.0000, 0.0000], [3.2717, 5.7919, 0.0034], [3.2717, 1.7677, 5.5156]],
  "species": ["Ca", "Ca", "La", "La", "Ga", "Ga", "O", "O", "O", "O", "O", "O", "O", "O"],
  "fractional_positions": [[0.5000, 0.0000, 0.5000], [0.0000, 0.0000, 0.5000], [0.0000, 0.0000, 0.0000], [0.0000, 0.5000, 0.5000], [0.6277, 0.6223, 0.1223], [0.3723, 0.3777, 0.8777], [0.7434, 0.7442, 0.7690], [0.2566, 0.7310, 0.7558], [0.7434, 0.2690, 0.2442], [0.2566, 0.2558, 0.2310], [0.2653, 0.7461, 0.2461], [0.7425, 0.7461, 0.2461], [0.2575, 0.2539, 0.7539], [0.7347, 0.2539, 0.7539]]
}



R:
{
  "formula": "CaLaGaO4",
  "functional": "PBE",
  "state": "optimized geometry",
  "sg": "Pnma",
  "lattice": [[-2.3700, 2.5381, -4.1256], [-6.1670, -1.0788, 2.8790], [0.9147, 10.3308, 5.8303]],
  "species": ["Ca", "Ca", "Ca", "Ca", "La", "La", "La", "La", "Ga", "Ga", "Ga", "Ga", "O", "O", "O", "O", "O", "O", "O", "O", "O", "O", "O", "O", "O", "O", "O", "O"],
  "fractional_positions": [[0.0000, 0.0000, 0.0000], [0.5000, 0.0000, 0.5000], [0.0000, 0.5000, 0.0000], [0.5000, 0.5000, 0.5000], [0.5096, 0.7500, 0.7798], [0.9904, 0.7500, 0.2798], [0.0096, 0.2500, 0.7202], [0.4904, 0.2500, 0.2202], [0.4334, 0.7500, 0.0900], [0.5666, 0.2500, 0.9100], [0.9334, 0.2500, 0.4100], [0.0666, 0.7500, 0.5900], [0.2705, 0.9617, 0.1621], [0.2705, 0.5383, 0.1621], [0.7247, 0.2500, 0.0521], [0.7267, 0.7500, 0.5920], [0.2295, 0.5383, 0.6621], [0.2247, 0.7500, 0.4479], [0.7705, 0.0383, 0.3379], [0.2733, 0.2500, 0.4080], [0.2295, 0.9617, 0.6621], [0.7733, 0.7500, 0.0920], [0.2267, 0.2500, 0.9080], [0.7295, 0.0383, 0.8379], [0.7705, 0.4617, 0.3379], [0.7295, 0.4617, 0.8379], [0.2753, 0.7500, 0.9479], [0.7753, 0.2500, 0.5521]]
}



Of them, R has the highest stability.



P:
{
  "formula": "LiCa4Ga",
  "functional": "PBE",
  "state": "optimized geometry",
  "sg": "F-43m",
  "lattice": [[3.4835, -5.2692, 8.3535], [7.7054, -7.0114, -1.0710], [9.5104, 2.0369, 3.8839]],
  "species": ["Li", "Li", "Li", "Li", "Ca", "Ca", "Ca", "Ca", "Ca", "Ca", "Ca", "Ca", "Ca", "Ca", "Ca", "Ca", "Ca", "Ca", "Ca", "Ca", "Ga", "Ga", "Ga", "Ga"],
  "fractional_positions": [[0.1739, 0.1739, 0.1739], [0.4783, 0.1739, 0.1739], [0.1739, 0.4783, 0.1739], [0.1739, 0.1739, 0.4783], [0.4038, 0.4038, 0.4038], [0.7887, 0.4038, 0.4038], [0.4038, 0.7887, 0.4038], [0.4038, 0.4038, 0.7887], [0.5573, 0.5573, 0.9427], [0.9427, 0.9427, 0.5573], [0.5573, 0.9427, 0.5573], [0.9427, 0.5573, 0.9427], [0.9427, 0.5573, 0.5573], [0.5573, 0.9427, 0.9427], [0.1957, 0.1957, 0.8043], [0.8043, 0.8043, 0.1957], [0.1957, 0.8043, 0.1957], [0.8043, 0.1957, 0.8043], [0.8043, 0.1957, 0.1957], [0.1957, 0.8043, 0.8043], [0.6106, 0.6106, 0.6106], [0.1682, 0.6106, 0.6106], [0.6106, 0.1682, 0.6106], [0.6106, 0.6106, 0.1682]]
}



Q:
{
  "formula": "LiCa4Ga",
  "functional": "PBE",
  "state": "optimized geometry",
  "sg": "C2/m",
  "lattice": [[5.3065, 0.0001, -0.0007], [-0.0001, 5.3062, -0.0003], [0.0051, 0.0086, 7.6546]],
  "species": ["Li", "Ca", "Ca", "Ca", "Ca", "Ga"],
  "fractional_positions": [[0.0013, 0.9972, 0.4983], [0.5013, 0.9970, 0.2262], [0.5013, 0.9975, 0.7700], [0.0015, 0.4973, 0.7701], [0.0012, 0.4972, 0.2262], [0.5012, 0.4974, 0.9979]]
}



Of them, P has the highest stability.



P:
{
  "formula": "Li2CaGa2",
  "functional": "PBE",
  "state": "optimized geometry",
  "sg": "P4/mbm",
  "lattice": [[7.9231, 0.0000, 0.0000], [0.0000, 7.9231, 0.0000], [0.0000, 0.0000, 3.0388]],
  "species": ["Ca", "Ca", "Ga", "Ga", "Ga", "Ga", "Li", "Li", "Li", "Li"],
  "fractional_positions": [[0.0000, 0.0000, 0.0000], [0.5000, 0.5000, 0.0000], [0.1729, 0.6729, 0.5000], [0.6729, 0.8271, 0.5000], [0.8271, 0.3271, 0.5000], [0.3271, 0.1729, 0.5000], [0.3795, 0.8795, 0.0000], [0.8795, 0.6205, 0.0000], [0.6205, 0.1205, 0.0000], [0.1205, 0.3795, 0.0000]]
}



Q:
{
  "formula": "Li2CaGa2",
  "functional": "PBE",
  "state": "optimized geometry",
  "sg": "Imma",
  "lattice": [[4.2765, 0.0000, -0.8214], [-0.1672, 4.4342, -0.8707], [-0.0781, -0.1218, 11.1367]],
  "species": ["Li", "Li", "Li", "Li", "Ca", "Ca", "Ga", "Ga", "Ga", "Ga"],
  "fractional_positions": [[0.5380, 0.2880, 0.0760], [0.9596, 0.2096, 0.9193], [0.4620, 0.7120, 0.9240], [0.0404, 0.7904, 0.0807], [0.8327, 0.5827, 0.6654], [0.1673, 0.4173, 0.3346], [0.7193, 0.9693, 0.4387], [0.2807, 0.0307, 0.5613], [0.3971, 0.1471, 0.7942], [0.6029, 0.8529, 0.2058]]
}



R:
{
  "formula": "Li2CaGa2",
  "functional": "PBE",
  "state": "optimized geometry",
  "sg": "P4/mbm",
  "lattice": [[7.9190, 0.0000, 0.0000], [0.0000, 7.9190, 0.0000], [0.0000, 0.0000, 3.2470]],
  "species": ["Ca", "Ca", "Ga", "Ga", "Ga", "Ga", "Li", "Li", "Li", "Li"],
  "fractional_positions": [[0.0000, 0.0000, 0.0000], [0.5000, 0.5000, 0.0000], [0.3790, 0.8790, 0.0000], [0.8790, 0.6210, 0.0000], [0.6210, 0.1210, 0.0000], [0.1210, 0.3790, 0.0000], [0.1715, 0.6715, 0.5000], [0.6715, 0.8285, 0.5000], [0.8285, 0.3285, 0.5000], [0.3285, 0.1715, 0.5000]]
}



Of them, Q has the highest stability.